Record 1
# GeBiH8C2S4N

A relaxed structure of GeBiH8C2S4N (GGA-PBEsol, Alexandria via LeMat-Bulk).

Cell: 6.6674 6.8299 10.6446 Å, 90.00 104.56 90.00°
Last column: nearest neighbours and their distance in Å.
Atoms (fractional coordinates):
Ge1 0.2253 0.0000 0.3476  4 S 2.19-2.25
Ge2 0.7747 0.5000 0.6524  4 S 2.19-2.25
Bi1 0.2361 0.5684 0.5364  5 S 2.73-2.92
Bi2 0.7639 0.0684 0.4636  5 S 2.73-2.92
H1 0.0079 0.9451 0.9488  1 C 1.10
H2 0.1232 0.6194 0.9733  1 C 1.10
H3 0.1651 0.3633 0.9559  1 C 1.10
H4 0.2616 0.5672 0.2105  1 N 1.06
H5 0.3381 0.3372 0.1792  1 N 1.07
H6 0.3684 0.0269 0.7967  1 C 1.10
H7 0.4674 0.9851 0.9692  1 C 1.10
H8 0.4901 0.7164 0.1029  1 C 1.10
H9 0.5099 0.2164 0.8971  1 C 1.10
H10 0.5326 0.4851 0.0308  1 C 1.10
H11 0.6316 0.5269 0.2033  1 C 1.10
H12 0.6619 0.8372 0.8208  1 N 1.07
H13 0.7384 0.0672 0.7895  1 N 1.06
H14 0.8349 0.8633 0.0441  1 C 1.10
H15 0.8768 0.1194 0.0267  1 C 1.10
H16 0.9921 0.4451 0.0512  1 C 1.10
C1 0.1363 0.4768 0.0227  3 H 1.10
C2 0.4958 0.0569 0.8827  3 H 1.10
C3 0.5042 0.5569 0.1173  3 H 1.10
C4 0.8637 0.9768 0.9773  3 H 1.10
S1 0.0175 0.2567 0.3377  1 Ge 2.22
S2 0.0330 0.7334 0.3022  1 Ge 2.21, 1 H 2.30
S3 0.4067 0.9346 0.5514  1 Ge 2.25
S4 0.4428 0.0469 0.2263  1 H 2.12, 1 Ge 2.19
S5 0.5572 0.5469 0.7737  1 H 2.12, 1 Ge 2.19
S6 0.5933 0.4346 0.4486  1 Ge 2.25
S7 0.9670 0.2334 0.6978  1 Ge 2.21, 1 H 2.30
S8 0.9825 0.7567 0.6623  1 Ge 2.22
N1 0.3090 0.4820 0.1405  2 H 1.06-1.07
N2 0.6910 0.9820 0.8595  2 H 1.06-1.07

## Properties
The calculation puts the total energy at -171.86 eV per cell.

=====

Record 2
# GeBi2RhC

A relaxed structure of GeBi2RhC (GGA-PBEsol, Alexandria via LeMat-Bulk).

Cell: 5.0738 5.0738 3.7662 Å, 90.00 90.00 90.00°
Last column: nearest neighbours and their distance in Å.
Atoms (fractional coordinates):
Ge1 0.0000 0.0000 0.0000  2 C 1.88
Bi1 0.0000 0.5000 0.5000  2 C 2.54
Bi2 0.5000 0.0000 0.5000  2 C 2.54
Rh1 0.5000 0.5000 0.0000  8 Bi 3.16
C1 0.0000 0.0000 0.5000  2 Ge 1.88

## Properties
The value obtained for the energy of formation is 0.91 eV per atom.

=====

Record 3
# KBiH10C4O13

A relaxed structure of KBiH10C4O13 (GGA-PBEsol, Alexandria via LeMat-Bulk).

Cell: 11.7481 9.2782 9.4766 Å, 77.56 50.46 51.97°
Last column: nearest neighbours and their distance in Å.
Atoms (fractional coordinates):
K1 0.0000 0.0000 0.0000  7 O 2.76-2.90, 4 H 3.01-3.09
K2 0.2500 0.2500 0.2500  7 O 2.76-2.90, 4 H 3.01-3.09
Bi1 0.4957 0.4957 0.5043  8 O 2.38-2.49
Bi2 0.7457 0.7457 0.7543  8 O 2.38-2.49
H1 0.0002 0.7223 0.2477  1 O 0.99
H2 0.0023 0.2202 0.2498  1 O 0.99
H3 0.0290 0.5603 0.0533  1 O 1.01
H4 0.0857 0.8154 0.3493  1 O 0.99
H5 0.0992 0.1845 0.6848  1 O 0.99
H6 0.1150 0.3040 0.8839  1 O 1.01
H7 0.1845 0.0992 0.0314  1 O 0.99
H8 0.1967 0.8926 0.2210  1 O 1.01
H9 0.2186 0.5652 0.0655  1 O 0.99
H10 0.2202 0.0023 0.5277  1 O 0.99
H11 0.3040 0.1150 0.6972  1 O 1.01
H12 0.3661 0.5528 0.1350  1 O 1.01
H13 0.5003 0.9007 0.4346  1 O 0.99
H14 0.5528 0.3661 0.9460  1 O 1.01
H15 0.5603 0.0290 0.3574  1 O 1.01
H16 0.5652 0.2186 0.1508  1 O 0.99
H17 0.7223 0.0002 0.0298  1 O 0.99
H18 0.8154 0.0857 0.7497  1 O 0.99
H19 0.8926 0.1967 0.6897  1 O 1.01
H20 0.9007 0.5003 0.1643  1 O 0.99
C1 0.0608 0.7240 0.6990  2 O 1.26-1.27
C2 0.1784 0.5365 0.5589  2 O 1.26
C3 0.5238 0.6911 0.7135  2 O 1.26
C4 0.5365 0.1784 0.7262  2 O 1.26
C5 0.5510 0.7339 0.1892  2 O 1.26-1.27
C6 0.6911 0.5238 0.0716  2 O 1.26
C7 0.7240 0.0608 0.5161  2 O 1.26-1.27
C8 0.7339 0.5510 0.5260  2 O 1.26-1.27
O1 0.0866 0.6530 0.1126  2 H 0.99
O2 0.0910 0.5135 0.5436  1 C 1.26
O3 0.1021 0.1374 0.5970  2 H 0.99
O4 0.1374 0.1021 0.1634  2 H 0.99
O5 0.1484 0.7478 0.7123  1 C 1.26
O6 0.1737 0.1737 0.8263  2 H 1.01
O7 0.2116 0.7811 0.2735  2 H 0.99-1.01
O8 0.3559 0.4175 0.4664  1 C 1.26
O9 0.3981 0.7064 0.7365  1 C 1.26
O10 0.4175 0.3559 0.7602  1 C 1.26
O11 0.4237 0.4237 0.0763  2 H 1.01
O12 0.4581 0.7686 0.3685  1 C 1.27
O13 0.4898 0.7836 0.8325  1 C 1.26
O14 0.5135 0.0910 0.8519  1 C 1.26
O15 0.5162 0.9765 0.4689  2 H 0.99-1.01
O16 0.5377 0.8585 0.1016  1 C 1.26
O17 0.6530 0.0866 0.1479  2 H 0.99
O18 0.7064 0.3981 0.1590  1 C 1.26
O19 0.7478 0.1484 0.3915  1 C 1.26
O20 0.7686 0.4581 0.4047  1 C 1.27
O21 0.7811 0.2116 0.7338  2 H 0.99-1.01
O22 0.7836 0.4898 0.8941  1 C 1.26
O23 0.8453 0.8815 0.4814  1 C 1.27
O24 0.8585 0.5377 0.5022  1 C 1.26
O25 0.8815 0.8453 0.7919  1 C 1.27
O26 0.9765 0.5162 0.0384  2 H 0.99-1.01

## Properties
The calculation puts the total energy at -358.61 eV per cell.

=====

Record 4
# HgBiC2

A relaxed structure of HgBiC2 (GGA-PBEsol, Alexandria via LeMat-Bulk).

Cell: 6.2832 6.2832 6.2832 Å, 90.00 90.00 90.00°
Last column: nearest neighbours and their distance in Å.
Atoms (fractional coordinates):
Hg1 0.0000 0.0000 0.0000  8 C 2.72
Hg2 0.0000 0.5000 0.5000  8 C 2.72
Hg3 0.5000 0.0000 0.5000  8 C 2.72
Hg4 0.5000 0.5000 0.0000  8 C 2.72
Bi1 0.0000 0.0000 0.5000  8 C 2.72
Bi2 0.0000 0.5000 0.0000  8 C 2.72
Bi3 0.5000 0.0000 0.0000  8 C 2.72
Bi4 0.5000 0.5000 0.5000  8 C 2.72
C1 0.2500 0.2500 0.2500  4 Hg 2.72, 4 Bi 2.72
C2 0.2500 0.2500 0.7500  4 Hg 2.72, 4 Bi 2.72
C3 0.2500 0.7500 0.2500  4 Bi 2.72, 4 Hg 2.72
C4 0.2500 0.7500 0.7500  4 Hg 2.72, 4 Bi 2.72
C5 0.7500 0.2500 0.2500  4 Bi 2.72, 4 Hg 2.72
C6 0.7500 0.2500 0.7500  4 Hg 2.72, 4 Bi 2.72
C7 0.7500 0.7500 0.2500  4 Hg 2.72, 4 Bi 2.72
C8 0.7500 0.7500 0.7500  4 Hg 2.72, 4 Bi 2.72

## Properties
The value obtained for the energy of formation is 2.37 eV per atom.